# 1
Cr2H24I3N9 after structural relaxation. Source: Alexandria, functional GGA-PBE.

```
Cr2H24I3N9
1.0
7.787 0.000 0.000
-3.894 6.744 0.000
0.000 0.000 18.116
Cr H I N
4 48 6 18
direct
0.333 0.667 0.174
0.667 0.333 0.826
0.667 0.333 0.674
0.333 0.667 0.326
0.596 0.617 0.250
0.021 0.404 0.250
0.383 0.979 0.250
0.383 0.404 0.250
0.596 0.979 0.250
0.021 0.617 0.250
0.404 0.383 0.750
0.979 0.596 0.750
0.617 0.021 0.750
0.617 0.596 0.750
0.404 0.021 0.750
0.979 0.383 0.750
0.225 0.775 0.049
0.550 0.775 0.049
0.225 0.450 0.049
0.775 0.225 0.951
0.450 0.225 0.951
0.775 0.550 0.951
0.775 0.225 0.549
0.450 0.225 0.549
0.775 0.550 0.549
0.225 0.775 0.451
0.550 0.775 0.451
0.225 0.450 0.451
0.056 0.731 0.114
0.674 0.944 0.114
0.269 0.326 0.114
0.269 0.944 0.114
0.056 0.326 0.114
0.674 0.731 0.114
0.944 0.269 0.886
0.326 0.056 0.886
0.731 0.674 0.886
0.731 0.056 0.886
0.944 0.674 0.886
0.326 0.269 0.886
0.944 0.269 0.614
0.326 0.056 0.614
0.731 0.674 0.614
0.731 0.056 0.614
0.944 0.674 0.614
0.326 0.269 0.614
0.056 0.731 0.386
0.674 0.944 0.386
0.269 0.326 0.386
0.269 0.944 0.386
0.056 0.326 0.386
0.674 0.731 0.386
0.000 0.000 0.250
0.000 0.000 0.750
0.333 0.667 0.583
0.667 0.333 0.417
0.667 0.333 0.083
0.333 0.667 0.917
0.445 0.555 0.250
0.110 0.555 0.250
0.445 0.890 0.250
0.555 0.445 0.750
0.890 0.445 0.750
0.555 0.110 0.750
0.206 0.794 0.104
0.588 0.794 0.104
0.206 0.412 0.104
0.794 0.206 0.896
0.412 0.206 0.896
0.794 0.588 0.896
0.794 0.206 0.604
0.412 0.206 0.604
0.794 0.588 0.604
0.206 0.794 0.396
0.588 0.794 0.396
0.206 0.412 0.396
```

Calculated values
Total magnetization (μB per cell): 12.0


# 2
YCd3F after structural relaxation. Source: Alexandria, functional GGA-PBE.

```
YCd3F
1.0
-3.619 1.776 4.690
-4.727 0.723 -3.921
-1.675 -5.880 0.934
Y F Cd
1 1 3
direct
0.000 0.000 0.000
0.500 0.500 0.500
0.000 0.500 0.000
0.000 0.000 0.500
0.500 0.000 0.000
```

Calculated values
Excess energy over the best structure of this formula in the dataset (kJ/mol of formula units): 387.0
Raw formation energy (eV/atom): 0.285
Total magnetization (μB per cell): 0.0


# 3
Y3MgN after structural relaxation. Source: Alexandria, functional GGA-PBE.

```
Y3MgN
1.0
5.496 0.000 3.332
-2.748 4.760 3.332
-2.748 -4.760 3.332
Y Mg N
6 2 2
direct
0.021 0.479 0.250
0.479 0.250 0.021
0.250 0.021 0.479
0.750 0.979 0.521
0.521 0.750 0.979
0.979 0.521 0.750
0.000 0.000 0.000
0.500 0.500 0.500
0.250 0.250 0.250
0.750 0.750 0.750
```

Calculated values
Excess energy over the best structure of this formula in the dataset (kJ/mol of formula units): 187.3
Raw formation energy (eV/atom): -0.334
Total magnetization (μB per cell): 0.0


| no. | DOS at the Fermi energy (states/eV per cell) | E_tot (eV/cell) |
| --- | --- | --- |
| 1 | 0.000 | -394.215 |
| 2 | 4.837 | -9.656 |
| 3 | 9.924 | -61.965 |